## w
First-principles (SCAN) data for a crystal of Li2GaSb relaxed with PBEsol, as listed in the Alexandria database.

Unit cell a=4.698 b=4.698 c=4.698 alpha=60.00 beta=60.00 gamma=60.00
Fractional positions:
Sb  0.500  0.500  0.500
Ga  0.000  0.000  0.000
Li  0.250  0.250  0.250
Li  0.750  0.750  0.750

Summary:
The theoretical density is 4.65 g cm⁻³. As for the volume: 73 Å³/f.u.

=====

## x
First-principles (SCAN) data for a crystal of Li2GaSb relaxed with PBEsol, as listed in the Alexandria database.

Unit cell a=4.092 b=4.092 c=9.866 alpha=101.97 beta=101.97 gamma=90.00
Fractional positions:
Sb  0.250  0.750  0.500
Sb  0.000  0.000  0.000
Ga  0.750  0.250  0.500
Ga  0.500  0.500  0.000
Li  0.382  0.875  0.250
Li  0.868  0.375  0.250
Li  0.125  0.132  0.750
Li  0.625  0.618  0.750

Summary:
The theoretical density is 4.32 g cm⁻³. As for the volume: 79 Å³/f.u.

=====

Which structure is the most stable? The one labeled w.

=====

## w
First-principles (SCAN) data for a crystal of Li2Ga2Sn relaxed with PBEsol, as listed in the Alexandria database.

Unit cell a=3.870 b=3.870 c=6.831 alpha=106.46 beta=106.46 gamma=90.00
Fractional positions:
Sn  0.000  0.000  0.000
Ga  0.400  0.400  0.801
Ga  0.600  0.600  0.199
Li  0.250  0.750  0.500
Li  0.750  0.250  0.500

Summary:
The theoretical density is 4.82 g cm⁻³. As for the volume: 94 Å³/f.u.

=====

## x
First-principles (SCAN) data for a crystal of Li2Ga2Sn relaxed with PBEsol, as listed in the Alexandria database.

Unit cell a=3.060 b=7.563 c=7.563 alpha=90.00 beta=90.00 gamma=90.00
Fractional positions:
Sn  0.000  0.000  0.000
Sn  0.000  0.500  0.500
Ga  0.000  0.380  0.880
Ga  0.000  0.880  0.620
Ga  0.000  0.620  0.120
Ga  0.000  0.120  0.380
Li  0.500  0.178  0.678
Li  0.500  0.678  0.822
Li  0.500  0.822  0.322
Li  0.500  0.322  0.178

Summary:
The theoretical density is 5.16 g cm⁻³. As for the volume: 88 Å³/f.u.

=====

Which structure is the most stable? The one labeled x.

=====

## w
First-principles (SCAN) data for a crystal of Sr2LiGa2 relaxed with PBEsol, as listed in the Alexandria database.

Unit cell a=4.117 b=8.418 c=8.418 alpha=90.00 beta=90.00 gamma=90.00
Fractional positions:
Sr  0.500  0.181  0.681
Sr  0.500  0.681  0.819
Sr  0.500  0.819  0.319
Sr  0.500  0.319  0.181
Ga  0.000  0.389  0.889
Ga  0.000  0.889  0.611
Ga  0.000  0.611  0.111
Ga  0.000  0.111  0.389
Li  0.000  0.000  0.000
Li  0.000  0.500  0.500

Summary:
The theoretical density is 3.66 g cm⁻³. As for the volume: 146 Å³/f.u.

=====

## x
First-principles (SCAN) data for a crystal of Sr2LiGa2 relaxed with PBEsol, as listed in the Alexandria database.

Unit cell a=5.894 b=5.894 c=5.894 alpha=95.73 beta=116.75 gamma=116.75
Fractional positions:
Sr  0.500  0.750  0.250
Sr  0.500  0.250  0.750
Ga  0.000  0.651  0.651
Ga  0.000  0.349  0.349
Li  0.000  0.000  0.000

Summary:
The theoretical density is 3.54 g cm⁻³. As for the volume: 151 Å³/f.u.

=====

Which structure is the most stable? The one labeled w.

=====

## w
First-principles (SCAN) data for a crystal of SrLi3Ga relaxed with PBEsol, as listed in the Alexandria database.

Unit cell a=4.955 b=4.955 c=4.955 alpha=90.00 beta=90.00 gamma=90.00
Fractional positions:
Sr  0.500  0.500  0.500
Ga  0.000  0.000  0.000
Li  0.000  0.500  0.000
Li  0.000  0.000  0.500
Li  0.500  0.000  0.000

Summary:
The theoretical density is 2.43 g cm⁻³. As for the volume: 122 Å³/f.u.

=====

## x
First-principles (SCAN) data for a crystal of SrLi3Ga relaxed with PBEsol, as listed in the Alexandria database.

Unit cell a=5.681 b=5.681 c=5.681 alpha=90.00 beta=90.00 gamma=90.00
Fractional positions:
Sr  0.000  0.000  0.000
Ga  0.500  0.500  0.500
Li  0.000  0.500  0.000
Li  0.000  0.000  0.500
Li  0.500  0.000  0.000

Summary:
The theoretical density is 1.61 g cm⁻³. As for the volume: 183 Å³/f.u.

=====

Which structure is the most stable? The one labeled w.

=====

## w
First-principles (SCAN) data for a crystal of Li2GaTe relaxed with PBEsol, as listed in the Alexandria database.

Unit cell a=4.812 b=4.812 c=4.812 alpha=60.00 beta=60.00 gamma=60.00
Fractional positions:
Te  0.500  0.500  0.500
Ga  0.000  0.000  0.000
Li  0.250  0.250  0.250
Li  0.750  0.750  0.750

Summary:
The theoretical density is 4.45 g cm⁻³. As for the volume: 79 Å³/f.u.

=====

## x
First-principles (SCAN) data for a crystal of Li2GaTe relaxed with PBEsol, as listed in the Alexandria database.

Unit cell a=4.483 b=4.483 c=9.422 alpha=103.76 beta=103.76 gamma=90.00
Fractional positions:
Te  0.250  0.750  0.500
Te  0.000  0.000  0.000
Ga  0.750  0.250  0.500
Ga  0.500  0.500  0.000
Li  0.880  0.375  0.250
Li  0.370  0.875  0.250
Li  0.625  0.630  0.750
Li  0.125  0.120  0.750

Summary:
The theoretical density is 3.93 g cm⁻³. As for the volume: 89 Å³/f.u.

=====

Which structure is the most stable? The one labeled w.

=====

## w
First-principles (SCAN) data for a crystal of Li3TlGa relaxed with PBEsol, as listed in the Alexandria database.

Unit cell a=5.031 b=5.031 c=5.031 alpha=90.00 beta=90.00 gamma=90.00
Fractional positions:
Tl  0.000  0.000  0.000
Ga  0.500  0.500  0.500
Li  0.000  0.500  0.000
Li  0.000  0.000  0.500
Li  0.500  0.000  0.000

Summary:
The theoretical density is 3.84 g cm⁻³. As for the volume: 127 Å³/f.u.

=====

## x
First-principles (SCAN) data for a crystal of Li3TlGa relaxed with PBEsol, as listed in the Alexandria database.

Unit cell a=4.818 b=4.818 c=4.818 alpha=90.00 beta=90.00 gamma=90.00
Fractional positions:
Tl  0.500  0.500  0.500
Ga  0.000  0.000  0.000
Li  0.000  0.500  0.000
Li  0.000  0.000  0.500
Li  0.500  0.000  0.000

Summary:
The theoretical density is 4.38 g cm⁻³. As for the volume: 112 Å³/f.u.

=====

Which structure is the most stable? The one labeled x.

=====

## w
First-principles (SCAN) data for a crystal of MgGa3N relaxed with PBEsol, as listed in the Alexandria database.

Unit cell a=4.345 b=4.345 c=4.345 alpha=90.00 beta=90.00 gamma=90.00
Fractional positions:
Mg  0.500  0.500  0.500
Ga  0.000  0.500  0.000
Ga  0.000  0.000  0.500
Ga  0.500  0.000  0.000
N  0.000  0.000  0.000

Summary:
The theoretical density is 5.01 g cm⁻³. As for the volume: 82 Å³/f.u.

=====

## x
First-principles (SCAN) data for a crystal of MgGa3N relaxed with PBEsol, as listed in the Alexandria database.

Unit cell a=5.018 b=5.018 c=5.018 alpha=90.00 beta=90.00 gamma=90.00
Fractional positions:
Mg  0.000  0.000  0.000
Ga  0.000  0.500  0.000
Ga  0.000  0.000  0.500
Ga  0.500  0.000  0.000
N  0.500  0.500  0.500

Summary:
The theoretical density is 3.25 g cm⁻³. As for the volume: 126 Å³/f.u.

=====

Which structure is the most stable? The one labeled w.

=====

## w
First-principles (SCAN) data for a crystal of MgGa2Rh2 relaxed with PBEsol, as listed in the Alexandria database.

Unit cell a=4.156 b=4.156 c=5.677 alpha=111.47 beta=111.47 gamma=90.00
Fractional positions:
Mg  0.000  0.000  0.000
Rh  0.250  0.750  0.500
Rh  0.750  0.250  0.500
Ga  0.375  0.375  0.751
Ga  0.625  0.625  0.249

Summary:
The theoretical density is 7.31 g cm⁻³. As for the volume: 84 Å³/f.u.

=====

## x
First-principles (SCAN) data for a crystal of MgGa2Rh2 relaxed with PBEsol, as listed in the Alexandria database.

Unit cell a=2.932 b=7.128 c=7.128 alpha=90.00 beta=90.00 gamma=90.00
Fractional positions:
Mg  0.000  0.000  0.000
Mg  0.000  0.500  0.500
Rh  0.000  0.353  0.853
Rh  0.000  0.853  0.647
Rh  0.000  0.647  0.147
Rh  0.000  0.147  0.353
Ga  0.500  0.150  0.650
Ga  0.500  0.650  0.850
Ga  0.500  0.850  0.350
Ga  0.500  0.350  0.150

Summary:
The theoretical density is 8.24 g cm⁻³. As for the volume: 74 Å³/f.u.

=====

Which structure is the most stable? The one labeled x.